Compound: AsPt2Rh
Source: the Alexandria database
Functional: PBE
Structure: optimized geometry

Unit cell a=4.403 b=4.403 c=3.380 alpha=90.00 beta=90.00 gamma=105.83
Atoms (fractional coordinates):
Rh 0.500 0.000 0.500
As 0.000 0.500 0.500
Pt 0.000 0.000 0.000
Pt 0.500 0.500 0.000

## Properties
Size of the total moment in μB/cell: 0.00
ΔE_f in eV/atom: -0.079
Fermi-level density of states in states/eV per atom: 0.42